Entry P
! PBE-GGA LiSmCd6, relaxed; values from VASP
&SYSTEM
  ibrav = 0, nat = 8, ntyp = 3
/
ATOMIC_SPECIES
Li 6.94 Li.upf
Sm 150.36 Sm.upf
Cd 112.41 Cd.upf
ATOMIC_POSITIONS angstrom
Li 0.000 0.000 0.000
Sm 0.000 0.000 4.240
Cd 0.000 2.325 1.964
Cd 0.000 2.325 6.517
Cd 2.325 0.000 1.964
Cd 2.325 0.000 6.517
Cd 2.325 2.325 0.000
Cd 2.325 2.325 4.240
CELL_PARAMETERS angstrom
4.649 0.000 0.000
0.000 4.649 0.000
0.000 0.000 8.480
! space group = P4/mmm, No. 123
! D(E_F) = 0.374 states/eV/atom

***

Entry Q
! PBE-GGA LiSmCd6, relaxed; values from VASP
&SYSTEM
  ibrav = 0, nat = 8, ntyp = 3
/
ATOMIC_SPECIES
Li 6.94 Li.upf
Sm 150.36 Sm.upf
Cd 112.41 Cd.upf
ATOMIC_POSITIONS angstrom
Li 0.000 0.000 0.000
Sm 0.000 0.000 12.638
Cd 0.000 0.000 2.854
Cd 0.000 0.000 6.264
Cd 0.000 0.000 9.310
Cd 0.000 0.000 15.967
Cd 0.000 0.000 19.013
Cd 0.000 0.000 22.422
CELL_PARAMETERS angstrom
2.478 1.430 8.425
-2.478 1.430 8.425
0.000 -2.861 8.425
! space group = R-3m, No. 166
! D(E_F) = 0.579 states/eV/atom

***

The most stable of them is entry Q.

***

Entry P
! PBE-GGA LiSm2Cd6, relaxed; values from VASP
&SYSTEM
  ibrav = 0, nat = 9, ntyp = 3
/
ATOMIC_SPECIES
Li 6.94 Li.upf
Sm 150.36 Sm.upf
Cd 112.41 Cd.upf
ATOMIC_POSITIONS angstrom
Li 0.000 0.000 0.000
Sm 3.762 0.000 4.240
Sm 7.701 0.000 1.085
Cd 4.648 1.741 1.633
Cd 2.186 0.000 1.379
Cd 6.814 1.741 3.692
Cd 4.648 -1.741 1.633
Cd 9.276 0.000 3.946
Cd 6.814 -1.741 3.692
CELL_PARAMETERS angstrom
6.043 -3.312 0.000
6.043 3.312 0.000
-0.624 0.000 5.325
! space group = C2/m, No. 12
! D(E_F) = 0.524 states/eV/atom

***

Entry Q
! PBE-GGA LiSm2Cd6, relaxed; values from VASP
&SYSTEM
  ibrav = 0, nat = 9, ntyp = 3
/
ATOMIC_SPECIES
Li 6.94 Li.upf
Sm 150.36 Sm.upf
Cd 112.41 Cd.upf
ATOMIC_POSITIONS angstrom
Li 0.000 0.000 0.000
Sm 0.000 3.829 4.526
Sm 3.316 1.914 1.090
Cd 0.000 2.041 1.689
Cd -1.549 4.723 1.689
Cd 1.767 1.020 3.928
Cd 1.549 4.723 1.689
Cd 4.865 1.020 3.928
Cd 3.316 3.703 3.928
CELL_PARAMETERS angstrom
6.632 0.000 0.000
-3.316 5.743 0.000
0.000 0.000 5.617
! space group = P-3m1, No. 164
! D(E_F) = 0.825 states/eV/atom

***

The most stable of them is entry P.

***

Entry P
! PBE-GGA LiSmCdSn, relaxed; values from VASP
&SYSTEM
  ibrav = 0, nat = 4, ntyp = 4
/
ATOMIC_SPECIES
Li 6.94 Li.upf
Sm 150.36 Sm.upf
Cd 112.41 Cd.upf
Sn 118.71 Sn.upf
ATOMIC_POSITIONS angstrom
Li 0.000 0.000 0.000
Sm 3.657 3.657 3.657
Cd 1.828 1.828 1.828
Sn 5.485 5.485 5.485
CELL_PARAMETERS angstrom
0.000 3.657 3.657
3.657 0.000 3.657
3.657 3.657 0.000
! space group = F-43m, No. 216
! D(E_F) = 0.317 states/eV/atom

***

Entry Q
! PBE-GGA LiSmCdSn, relaxed; values from VASP
&SYSTEM
  ibrav = 0, nat = 4, ntyp = 4
/
ATOMIC_SPECIES
Li 6.94 Li.upf
Sm 150.36 Sm.upf
Cd 112.41 Cd.upf
Sn 118.71 Sn.upf
ATOMIC_POSITIONS angstrom
Li 0.000 0.000 0.000
Sm 0.000 2.309 2.463
Cd 2.160 2.309 0.000
Sn 2.160 0.000 2.463
CELL_PARAMETERS angstrom
4.320 0.000 0.000
0.000 4.618 0.000
0.000 0.000 4.926
! space group = Pmmm, No. 47
! D(E_F) = 0.411 states/eV/atom

***

The most stable of them is entry P.

***

Entry P
! PBE-GGA Li6Cd2Sn, relaxed; values from VASP
&SYSTEM
  ibrav = 0, nat = 9, ntyp = 3
/
ATOMIC_SPECIES
Li 6.94 Li.upf
Cd 112.41 Cd.upf
Sn 118.71 Sn.upf
ATOMIC_POSITIONS angstrom
Li -1.346 -2.318 2.899
Li -2.681 -0.006 2.899
Li 1.346 -2.318 2.899
Li -1.335 2.325 2.899
Li 2.681 -0.006 2.899
Li 1.335 2.325 2.899
Cd 0.000 0.000 1.414
Cd 0.000 0.000 7.282
Sn 0.000 0.000 4.348
CELL_PARAMETERS angstrom
4.027 2.325 2.899
-4.027 2.325 2.899
0.000 -4.650 2.899
! space group = R-3m, No. 166
! D(E_F) = 0.306 states/eV/atom

***

Entry Q
! PBE-GGA Li6Cd2Sn, relaxed; values from VASP
&SYSTEM
  ibrav = 0, nat = 18, ntyp = 3
/
ATOMIC_SPECIES
Li 6.94 Li.upf
Cd 112.41 Cd.upf
Sn 118.71 Sn.upf
ATOMIC_POSITIONS angstrom
Li 0.113 1.492 0.000
Li 1.448 0.284 2.249
Li 1.505 3.217 2.249
Li 2.813 7.568 0.000
Li 2.871 4.635 0.000
Li 4.206 5.844 2.249
Li 4.431 2.859 2.249
Li 5.766 4.067 0.000
Li 5.824 1.134 0.000
Li 7.131 5.486 2.249
Li 7.189 8.418 2.249
Li 8.524 7.210 0.000
Cd 1.343 6.134 2.249
Cd 2.976 1.783 0.000
Cd 5.661 6.919 0.000
Cd 7.294 2.568 2.249
Sn 0.000 4.351 0.000
Sn 4.318 0.000 2.249
CELL_PARAMETERS angstrom
8.637 0.000 0.000
0.000 8.702 0.000
0.000 0.000 4.499
! space group = Pnnm, No. 58
! D(E_F) = 0.448 states/eV/atom

***

The most stable of them is entry P.

***

Entry P
! PBE-GGA Li2Cd4Sn, relaxed; values from VASP
&SYSTEM
  ibrav = 0, nat = 7, ntyp = 3
/
ATOMIC_SPECIES
Li 6.94 Li.upf
Cd 112.41 Cd.upf
Sn 118.71 Sn.upf
ATOMIC_POSITIONS angstrom
Li 0.000 0.000 1.613
Li 0.000 0.000 18.381
Cd 2.041 0.000 4.999
Cd 0.000 0.000 7.160
Cd 0.000 0.000 12.834
Cd 0.000 2.041 4.999
Sn 0.000 0.000 9.997
CELL_PARAMETERS angstrom
-2.041 2.041 9.997
2.041 -2.041 9.997
2.041 2.041 -9.997
! space group = I4/mmm, No. 139
! D(E_F) = 0.423 states/eV/atom

***

Entry Q
! PBE-GGA Li2Cd4Sn, relaxed; values from VASP
&SYSTEM
  ibrav = 0, nat = 7, ntyp = 3
/
ATOMIC_SPECIES
Li 6.94 Li.upf
Cd 112.41 Cd.upf
Sn 118.71 Sn.upf
ATOMIC_POSITIONS angstrom
Li 2.381 8.714 0.000
Li 2.381 -8.714 0.000
Cd 2.381 6.041 1.554
Cd 2.381 2.994 0.000
Cd 2.381 -2.994 0.000
Cd 2.381 -6.041 1.554
Sn 2.381 0.000 1.554
CELL_PARAMETERS angstrom
2.381 -10.056 0.000
2.381 10.056 0.000
0.000 0.000 3.108
! space group = Cmmm, No. 65
! D(E_F) = 0.366 states/eV/atom

***

The most stable of them is entry Q.

***

Entry P
! PBE-GGA LiCdSn4, relaxed; values from VASP
&SYSTEM
  ibrav = 0, nat = 6, ntyp = 3
/
ATOMIC_SPECIES
Li 6.94 Li.upf
Cd 112.41 Cd.upf
Sn 118.71 Sn.upf
ATOMIC_POSITIONS angstrom
Li 0.000 0.000 0.000
Cd 2.493 0.000 1.937
Sn 0.005 1.611 2.880
Sn 0.005 -1.611 2.880
Sn 4.981 1.611 0.994
Sn 4.981 -1.611 0.994
CELL_PARAMETERS angstrom
3.728 -5.313 0.000
3.728 5.313 0.000
-2.471 0.000 3.873
! space group = C2/m, No. 12
! D(E_F) = 0.420 states/eV/atom

***

Entry Q
! PBE-GGA LiCdSn4, relaxed; values from VASP
&SYSTEM
  ibrav = 0, nat = 6, ntyp = 3
/
ATOMIC_SPECIES
Li 6.94 Li.upf
Cd 112.41 Cd.upf
Sn 118.71 Sn.upf
ATOMIC_POSITIONS angstrom
Li 0.000 0.000 0.000
Cd 2.744 0.000 3.350
Sn 0.752 1.530 5.138
Sn 0.752 -1.530 5.138
Sn 4.737 1.530 1.561
Sn 4.737 -1.530 1.561
CELL_PARAMETERS angstrom
3.333 -3.591 0.000
3.333 3.591 0.000
-1.177 0.000 6.699
! space group = C2/m, No. 12
! D(E_F) = 0.282 states/eV/atom

***

The most stable of them is entry P.

***

Entry P
! PBE-GGA Li6CdSn, relaxed; values from VASP
&SYSTEM
  ibrav = 0, nat = 8, ntyp = 3
/
ATOMIC_SPECIES
Li 6.94 Li.upf
Cd 112.41 Cd.upf
Sn 118.71 Sn.upf
ATOMIC_POSITIONS angstrom
Li 0.000 0.000 2.823
Li 0.000 0.000 5.833
Li 0.000 0.000 8.493
Li 0.000 0.000 14.208
Li 0.000 0.000 16.869
Li 0.000 0.000 19.878
Cd 0.000 0.000 11.351
Sn 0.000 0.000 0.000
CELL_PARAMETERS angstrom
2.344 1.353 7.567
-2.344 1.353 7.567
0.000 -2.706 7.567
! space group = R-3m, No. 166
! D(E_F) = 0.486 states/eV/atom

***

Entry Q
! PBE-GGA Li6CdSn, relaxed; values from VASP
&SYSTEM
  ibrav = 0, nat = 8, ntyp = 3
/
ATOMIC_SPECIES
Li 6.94 Li.upf
Cd 112.41 Cd.upf
Sn 118.71 Sn.upf
ATOMIC_POSITIONS angstrom
Li 0.000 0.000 0.000
Li 0.000 -1.524 7.052
Li 0.000 1.524 7.052
Li 2.374 -1.647 4.388
Li 2.374 0.000 6.510
Li 2.374 1.647 4.388
Cd 2.374 0.000 2.079
Sn 0.000 0.000 4.585
CELL_PARAMETERS angstrom
4.748 0.000 0.000
0.000 3.189 4.784
0.000 -3.189 4.784
! space group = Amm2, No. 38
! D(E_F) = 0.265 states/eV/atom

***

The most stable of them is entry P.

***

Entry P
! PBE-GGA LiCd2Sn2, relaxed; values from VASP
&SYSTEM
  ibrav = 0, nat = 10, ntyp = 3
/
ATOMIC_SPECIES
Li 6.94 Li.upf
Cd 112.41 Cd.upf
Sn 118.71 Sn.upf
ATOMIC_POSITIONS angstrom
Li 0.000 0.000 0.000
Li 4.164 4.164 0.000
Cd 1.124 3.040 1.865
Cd 3.040 7.204 1.865
Cd 5.289 1.124 1.865
Cd 7.204 5.289 1.865
Sn 1.391 5.556 0.000
Sn 2.773 1.391 0.000
Sn 5.556 6.937 0.000
Sn 6.937 2.773 0.000
CELL_PARAMETERS angstrom
8.328 0.000 0.000
0.000 8.328 0.000
0.000 0.000 3.730
! space group = P4/mbm, No. 127
! D(E_F) = 0.228 states/eV/atom

***

Entry Q
! PBE-GGA LiCd2Sn2, relaxed; values from VASP
&SYSTEM
  ibrav = 0, nat = 10, ntyp = 3
/
ATOMIC_SPECIES
Li 6.94 Li.upf
Cd 112.41 Cd.upf
Sn 118.71 Sn.upf
ATOMIC_POSITIONS angstrom
Li 0.000 0.000 0.000
Li 4.113 4.113 0.000
Cd 1.064 3.049 0.000
Cd 3.049 7.162 0.000
Cd 5.176 1.064 0.000
Cd 7.162 5.176 0.000
Sn 1.429 5.542 1.887
Sn 2.684 1.429 1.887
Sn 5.542 6.797 1.887
Sn 6.797 2.684 1.887
CELL_PARAMETERS angstrom
8.226 0.000 0.000
0.000 8.226 0.000
0.000 0.000 3.774
! space group = P4/mbm, No. 127
! D(E_F) = 0.451 states/eV/atom

***

Entry R
! PBE-GGA LiCd2Sn2, relaxed; values from VASP
&SYSTEM
  ibrav = 0, nat = 5, ntyp = 3
/
ATOMIC_SPECIES
Li 6.94 Li.upf
Cd 112.41 Cd.upf
Sn 118.71 Sn.upf
ATOMIC_POSITIONS angstrom
Li 0.000 0.000 0.000
Cd 0.029 1.007 4.736
Cd 2.460 1.071 1.369
Sn -0.023 2.472 1.762
Sn 2.512 -0.393 4.343
CELL_PARAMETERS angstrom
4.958 0.000 0.000
-2.467 4.314 0.000
-0.002 -2.236 6.104
! space group = P-1, No. 2
! D(E_F) = 0.345 states/eV/atom

***

The most stable of them is entry R.

***

Entry P
! PBE-GGA LiCd2Sn2, relaxed; values from VASP
&SYSTEM
  ibrav = 0, nat = 5, ntyp = 3
/
ATOMIC_SPECIES
Li 6.94 Li.upf
Cd 112.41 Cd.upf
Sn 118.71 Sn.upf
ATOMIC_POSITIONS angstrom
Li 0.000 0.000 0.000
Cd 2.334 0.000 3.172
Cd 0.000 2.334 3.172
Sn 0.000 0.000 4.945
Sn 0.000 0.000 7.742
CELL_PARAMETERS angstrom
-2.334 2.334 6.344
2.334 -2.334 6.344
2.334 2.334 -6.344
! space group = I4/mmm, No. 139
! D(E_F) = 0.242 states/eV/atom

***

Entry Q
! PBE-GGA LiCd2Sn2, relaxed; values from VASP
&SYSTEM
  ibrav = 0, nat = 10, ntyp = 3
/
ATOMIC_SPECIES
Li 6.94 Li.upf
Cd 112.41 Cd.upf
Sn 118.71 Sn.upf
ATOMIC_POSITIONS angstrom
Li 0.000 1.261 2.174
Li 1.628 1.261 13.372
Cd 1.628 1.261 -3.403
Cd 1.628 1.261 -0.601
Cd 0.000 1.261 16.146
Cd 0.000 1.261 18.949
Sn 1.628 -1.261 9.169
Sn 1.628 1.261 5.083
Sn 0.000 1.261 10.463
Sn 0.000 3.784 6.377
CELL_PARAMETERS angstrom
-1.628 2.523 15.546
1.628 -2.523 15.546
1.628 2.523 -15.546
! space group = Imma, No. 74
! D(E_F) = 0.303 states/eV/atom

***

The most stable of them is entry Q.

***

Entry P
! PBE-GGA Li4Cd2Sn, relaxed; values from VASP
&SYSTEM
  ibrav = 0, nat = 7, ntyp = 3
/
ATOMIC_SPECIES
Li 6.94 Li.upf
Cd 112.41 Cd.upf
Sn 118.71 Sn.upf
ATOMIC_POSITIONS angstrom
Li 0.000 0.000 1.284
Li 1.502 0.000 6.874
Li 0.000 2.290 2.628
Li 0.000 0.000 17.721
Cd 1.502 0.000 3.902
Cd 0.000 2.290 5.600
Sn 0.000 0.000 9.502
CELL_PARAMETERS angstrom
-1.502 2.290 9.502
1.502 -2.290 9.502
1.502 2.290 -9.502
! space group = Immm, No. 71
! D(E_F) = 0.333 states/eV/atom

***

Entry Q
! PBE-GGA Li4Cd2Sn, relaxed; values from VASP
&SYSTEM
  ibrav = 0, nat = 14, ntyp = 3
/
ATOMIC_SPECIES
Li 6.94 Li.upf
Cd 112.41 Cd.upf
Sn 118.71 Sn.upf
ATOMIC_POSITIONS angstrom
Li 0.464 1.322 0.525
Li -1.571 2.683 5.056
Li -1.571 5.251 5.056
Li 0.767 3.967 2.458
Li 3.109 1.322 4.770
Li 5.447 0.038 2.172
Li 5.447 2.606 2.172
Li 3.412 3.967 6.703
Cd 0.328 1.322 3.539
Cd 2.434 3.967 0.318
Cd 1.442 1.322 6.909
Cd 3.548 3.967 3.689
Sn 0.984 3.967 5.304
Sn 2.892 1.322 1.924
CELL_PARAMETERS angstrom
7.398 0.000 0.000
0.000 5.289 0.000
-3.522 0.000 7.228
! space group = P2_1/m, No. 11
! D(E_F) = 0.219 states/eV/atom

***

The most stable of them is entry P.

***

Entry P
! PBE-GGA Li3Cd3Sn, relaxed; values from VASP
&SYSTEM
  ibrav = 0, nat = 28, ntyp = 3
/
ATOMIC_SPECIES
Li 6.94 Li.upf
Cd 112.41 Cd.upf
Sn 118.71 Sn.upf
ATOMIC_POSITIONS angstrom
Li 0.291 2.655 7.236
Li 1.111 4.464 1.518
Li 1.518 1.111 4.464
Li 2.655 7.236 0.291
Li 3.063 3.883 5.692
Li 3.883 5.692 3.063
Li 4.464 1.518 1.111
Li 5.284 8.056 6.829
Li 5.692 3.063 3.883
Li 6.829 5.284 8.056
Li 7.236 0.291 2.655
Li 8.056 6.829 5.284
Cd 0.339 3.834 4.513
Cd 1.306 7.041 2.868
Cd 1.359 1.359 1.359
Cd 2.815 6.988 5.533
Cd 2.868 1.306 7.041
Cd 3.834 4.513 0.339
Cd 4.513 0.339 3.834
Cd 5.480 5.480 5.480
Cd 5.533 2.815 6.988
Cd 6.988 5.533 2.815
Cd 7.041 2.868 1.306
Cd 8.008 8.008 8.008
Sn 1.149 5.322 7.198
Sn 3.025 3.025 3.025
Sn 5.322 7.198 1.149
Sn 7.198 1.149 5.322
CELL_PARAMETERS angstrom
8.347 0.000 0.000
0.000 8.347 0.000
0.000 0.000 8.347
! space group = P2_13, No. 198
! D(E_F) = 0.406 states/eV/atom

***

Entry Q
! PBE-GGA Li3Cd3Sn, relaxed; values from VASP
&SYSTEM
  ibrav = 0, nat = 14, ntyp = 3
/
ATOMIC_SPECIES
Li 6.94 Li.upf
Cd 112.41 Cd.upf
Sn 118.71 Sn.upf
ATOMIC_POSITIONS angstrom
Li -1.693 4.386 1.219
Li 1.099 3.358 1.219
Li 3.458 0.727 3.656
Li 0.594 6.290 1.219
Li 2.952 3.659 3.656
Li 5.745 2.631 3.656
Cd -2.814 5.666 3.656
Cd 0.552 1.748 3.656
Cd 1.790 0.396 1.219
Cd 2.262 6.621 3.656
Cd 3.500 5.269 1.219
Cd 6.865 1.352 1.219
Sn 0.000 4.678 3.656
Sn 4.051 2.339 1.219
CELL_PARAMETERS angstrom
8.103 0.000 0.000
-4.051 7.017 0.000
0.000 0.000 4.875
! space group = P6_3/m, No. 176
! D(E_F) = 0.268 states/eV/atom

***

The most stable of them is entry Q.